# LiHgH PBE relaxed
data_LiHgH
_chemical_formula_sum 'Li6 Hg6 H6'
_cell_length_a 3.2673
_cell_length_b 3.2673
_cell_length_c 31.9496
_cell_angle_alpha 90.00
_cell_angle_beta 90.00
_cell_angle_gamma 120.00
_symmetry_space_group_name_H-M 'R -3 m'
_symmetry_Int_Tables_number 166
_symmetry_space_group_name_Hall '-R 3 2"'
loop_
_atom_site_label
_atom_site_type_symbol
_atom_site_fract_x
_atom_site_fract_y
_atom_site_fract_z
Li1 Li 0.0000 0.0000 0.1976
Hg1 Hg 0.0000 0.0000 0.3815
H1 H 0.0000 0.0000 0.1356
# **Size of the total moment**: 0.0 μB/cell
# **Distance to the lowest polymorph of the same formula**: 0.000 eV per atom

# Th2CoGeIr6 PBE relaxed
data_Th2CoGeIr6
_chemical_formula_sum 'Th8 Co4 Ge4 Ir24'
_cell_length_a 9.201
_cell_length_b 9.201
_cell_length_c 9.201
_cell_angle_alpha 90.00
_cell_angle_beta 90.00
_cell_angle_gamma 90.00
_symmetry_space_group_name_H-M 'F m -3 m'
_symmetry_Int_Tables_number 225
_symmetry_space_group_name_Hall '-F 4 2 3'
loop_
_atom_site_label
_atom_site_type_symbol
_atom_site_fract_x
_atom_site_fract_y
_atom_site_fract_z
Th1 Th 0.250 0.250 0.250
Co1 Co 0.000 0.000 0.000
Ge1 Ge 0.000 0.000 0.500
Ir1 Ir 0.000 0.000 0.250
# **Size of the total moment**: 11.5 μB/cell
# **Total DFT energy (no corrections)**: -7.896 eV/atom

# Dy2TmAl2 PBE relaxed
data_Dy2TmAl2
_chemical_formula_sum 'Dy4 Tm2 Al4'
_cell_length_a 3.630
_cell_length_b 5.104
_cell_length_c 13.417
_cell_angle_alpha 90.00
_cell_angle_beta 97.81
_cell_angle_gamma 90.00
_symmetry_space_group_name_H-M 'P 1 21/m 1'
_symmetry_Int_Tables_number 11
_symmetry_space_group_name_Hall '-P 2yb'
loop_
_atom_site_label
_atom_site_type_symbol
_atom_site_fract_x
_atom_site_fract_y
_atom_site_fract_z
Dy1 Dy 0.047 0.250 0.094
Dy2 Dy 0.234 0.250 0.468
Tm1 Tm 0.145 0.750 0.292
Al1 Al 0.360 0.750 0.718
Al2 Al 0.449 0.250 0.899
# **Size of the total moment**: 0.0 μB/cell
# **Total DFT energy (no corrections)**: -4.546 eV/atom

# La4Tb3Th2 PBE relaxed
data_La4Tb3Th2
_chemical_formula_sum 'La4 Tb3 Th2'
_cell_length_a 6.344
_cell_length_b 6.362
_cell_length_c 9.069
_cell_angle_alpha 96.48
_cell_angle_beta 96.92
_cell_angle_gamma 119.85
_symmetry_space_group_name_H-M 'P -1'
_symmetry_Int_Tables_number 2
_symmetry_space_group_name_Hall '-P 1'
loop_
_atom_site_label
_atom_site_type_symbol
_atom_site_fract_x
_atom_site_fract_y
_atom_site_fract_z
La1 La 0.129 0.449 0.342
La2 La 0.331 0.675 0.987
Tb1 Tb 0.000 0.000 0.000
Tb2 Tb 0.228 0.209 0.669
Th1 Th 0.425 0.090 0.334
# **Size of the total moment**: 0.0 μB/cell
# **Total DFT energy (no corrections)**: -5.328 eV/atom

# Ca3HfC PBE relaxed
data_Ca3HfC
_chemical_formula_sum 'Ca3 Hf1 C1'
_cell_length_a 6.121
_cell_length_b 6.121
_cell_length_c 6.121
_cell_angle_alpha 90.00
_cell_angle_beta 90.00
_cell_angle_gamma 90.00
_symmetry_space_group_name_H-M 'P m -3 m'
_symmetry_Int_Tables_number 221
_symmetry_space_group_name_Hall '-P 4 2 3'
loop_
_atom_site_label
_atom_site_type_symbol
_atom_site_fract_x
_atom_site_fract_y
_atom_site_fract_z
Ca1 Ca 0.000 0.000 0.500
Hf1 Hf 0.000 0.000 0.000
C1 C 0.500 0.500 0.500
# **Size of the total moment**: 5.8 μB/cell
# **Distance to the lowest polymorph of the same formula**: 1.551 eV per atom

# NdDy3S PBE relaxed
data_NdDy3S
_chemical_formula_sum 'Nd1 Dy3 S1'
_cell_length_a 5.328
_cell_length_b 5.328
_cell_length_c 5.328
_cell_angle_alpha 90.00
_cell_angle_beta 90.00
_cell_angle_gamma 90.00
_symmetry_space_group_name_H-M 'P m -3 m'
_symmetry_Int_Tables_number 221
_symmetry_space_group_name_Hall '-P 4 2 3'
loop_
_atom_site_label
_atom_site_type_symbol
_atom_site_fract_x
_atom_site_fract_y
_atom_site_fract_z
Nd1 Nd 0.000 0.000 0.000
Dy1 Dy 0.000 0.500 0.500
S1 S 0.500 0.500 0.500
# **Size of the total moment**: 0.0 μB/cell
# **Total DFT energy (no corrections)**: -5.199 eV/atom

# Rb4Ce3PuS8 PBE relaxed
data_Rb4Ce3PuS8
_chemical_formula_sum 'Rb12 Ce9 Pu3 S24'
_cell_length_a 8.4378
_cell_length_b 8.4378
_cell_length_c 23.0036
_cell_angle_alpha 90.00
_cell_angle_beta 90.00
_cell_angle_gamma 120.00
_symmetry_space_group_name_H-M 'R -3 m'
_symmetry_Int_Tables_number 166
_symmetry_space_group_name_Hall '-R 3 2"'
loop_
_atom_site_label
_atom_site_type_symbol
_atom_site_fract_x
_atom_site_fract_y
_atom_site_fract_z
Rb1 Rb 0.0000 0.0000 0.0000
Rb2 Rb 0.0000 0.5000 0.0000
Ce1 Ce 0.0000 0.5000 0.5000
Pu1 Pu 0.0000 0.0000 0.5000
S1 S 0.0000 0.0000 0.2321
S2 S 0.0006 0.5003 0.2311
# **Size of the total moment**: 24.0 μB/cell
# **Total DFT energy (no corrections)**: -6.032 eV/atom

# ScTi2Se4 PBE relaxed
data_ScTi2Se4
_chemical_formula_sum 'Sc2 Ti4 Se8'
_cell_length_a 14.059
_cell_length_b 3.623
_cell_length_c 6.423
_cell_angle_alpha 90.00
_cell_angle_beta 115.99
_cell_angle_gamma 90.00
_symmetry_space_group_name_H-M 'C 1 2/m 1'
_symmetry_Int_Tables_number 12
_symmetry_space_group_name_Hall '-C 2y'
loop_
_atom_site_label
_atom_site_type_symbol
_atom_site_fract_x
_atom_site_fract_y
_atom_site_fract_z
Sc1 Sc 0.000 0.000 0.000
Ti1 Ti 0.248 0.500 0.707
Se1 Se 0.118 0.000 0.461
Se2 Se 0.139 0.500 0.975
# **Size of the total moment**: 0.0 μB/cell
# **Distance to the lowest polymorph of the same formula**: 0.000 eV per atom

# Tm8Te4Pt3Pb PBE relaxed
data_Tm8Te4Pt3Pb
_chemical_formula_sum 'Tm24 Te12 Pt9 Pb3'
_cell_length_a 8.2625
_cell_length_b 8.2625
_cell_length_c 22.0236
_cell_angle_alpha 90.00
_cell_angle_beta 90.00
_cell_angle_gamma 120.00
_symmetry_space_group_name_H-M 'R -3 m'
_symmetry_Int_Tables_number 166
_symmetry_space_group_name_Hall '-R 3 2"'
loop_
_atom_site_label
_atom_site_type_symbol
_atom_site_fract_x
_atom_site_fract_y
_atom_site_fract_z
Tm1 Tm 0.0000 0.0000 0.2367
Tm2 Tm 0.0186 0.5093 0.7590
Te1 Te 0.0000 0.0000 0.0000
Te2 Te 0.0000 0.5000 0.0000
Pt1 Pt 0.0000 0.5000 0.5000
Pb1 Pb 0.0000 0.0000 0.5000
# **Size of the total moment**: 0.0 μB/cell
# **Total DFT energy (no corrections)**: -5.515 eV/atom

# Pm4CNCl2 PBE relaxed
data_Pm4CNCl2
_chemical_formula_sum 'Pm4 C1 N1 Cl2'
_cell_length_a 6.411
_cell_length_b 3.705
_cell_length_c 7.353
_cell_angle_alpha 90.00
_cell_angle_beta 106.95
_cell_angle_gamma 90.00
_symmetry_space_group_name_H-M 'P 1 2/m 1'
_symmetry_Int_Tables_number 10
_symmetry_space_group_name_Hall '-P 2y'
loop_
_atom_site_label
_atom_site_type_symbol
_atom_site_fract_x
_atom_site_fract_y
_atom_site_fract_z
Pm1 Pm 0.227 0.000 0.188
Pm2 Pm 0.267 0.500 0.810
C1 C 0.500 0.000 0.000
N1 N 0.000 0.500 0.000
Cl1 Cl 0.000 0.000 0.500
Cl2 Cl 0.500 0.500 0.500
# **Size of the total moment**: 0.0 μB/cell
# **Total DFT energy (no corrections)**: -6.352 eV/atom